(1)
## SrAg2 (GGA-PBE)

Data for an optimized crystal structure of SrAg2.

energy of formation = -0.253 eV/atom
uncorrected energy = -16.29 eV/cell
space group = I4_1/amd

Unit cell a=9.215 b=9.215 c=9.215 alpha=152.17 beta=152.17 gamma=39.76
Positions (direct):
Sr 0.375 0.625 0.750
Sr 0.625 0.375 0.250
Ag 0.046 0.796 0.250
Ag 0.204 0.954 0.250
Ag 0.796 0.046 0.750
Ag 0.954 0.204 0.750

---

(2)
## Sr3Ag (GGA-PBE)

Data for an optimized crystal structure of Sr3Ag.

energy of formation = -0.167 eV/atom
uncorrected energy = -17.13 eV/cell
space group = Cmcm

Unit cell a=7.508 b=7.508 c=10.807 alpha=90.00 beta=90.00 gamma=145.72
Positions (direct):
Sr 0.076 0.924 0.750
Sr 0.357 0.643 0.565
Sr 0.357 0.643 0.935
Sr 0.643 0.357 0.065
Sr 0.643 0.357 0.435
Sr 0.924 0.076 0.250
Ag 0.252 0.748 0.250
Ag 0.748 0.252 0.750

---

(3)
## SrAg2 (GGA-PBE)

Data for an optimized crystal structure of SrAg2.

energy of formation = 0.222 eV/atom
uncorrected energy = -26.87 eV/cell
space group = Pa-3

Unit cell a=7.467 b=7.467 c=7.467 alpha=90.00 beta=90.00 gamma=90.00
Positions (direct):
Sr 0.000 0.000 0.000
Sr 0.000 0.500 0.500
Sr 0.500 0.000 0.500
Sr 0.500 0.500 0.000
Ag 0.105 0.605 0.895
Ag 0.105 0.895 0.395
Ag 0.395 0.105 0.895
Ag 0.395 0.395 0.395
Ag 0.605 0.605 0.605
Ag 0.605 0.895 0.105
Ag 0.895 0.105 0.605
Ag 0.895 0.395 0.105